A plane-wave DFT calculation with GGA-PBEsol was carried out for a relaxed structure of TaTcRhW2.

Results
As for the formation energy from the elements: 1.918 eV per atom. The symmetry is P4/mmm (123).

```
TaTcRhW2
1.0
4.6085 0.0000 0.0000
0.0000 4.6085 0.0000
0.0000 0.0000 4.5020
Ta Tc Rh W
1 1 1 2
Direct
0.0000 0.0000 0.0000
0.5000 0.5000 0.0000
0.5000 0.5000 0.5000
0.0000 0.5000 0.5000
0.5000 0.0000 0.5000
```